one | # Tb3Dy2Er PBE relaxed
# **Density of states at the Fermi level**: 14.7 states/eV per cell
data_Tb3Dy2Er
_chemical_formula_sum 'Tb6 Dy4 Er2'
_space_group_name_H-M_alt 'P -1'
_space_group_IT_number 2
_cell_length_a 7.1339
_cell_length_b 7.1400
_cell_length_c 8.7801
_cell_angle_alpha 78.25
_cell_angle_beta 78.29
_cell_angle_gamma 60.04
loop_
_space_group_symop_operation_xyz
'x,y,z'
'-x,-y,-z'
loop_
_atom_site_label
_atom_site_fract_x
_atom_site_fract_y
_atom_site_fract_z
_atom_site_occupancy
Tb1 0.1390 0.1382 0.1671 1
Tb2 0.2499 0.2500 0.5003 1
Tb3 0.3610 0.8614 0.8339 1
Dy1 0.1390 0.6380 0.1665 1
Dy2 0.3610 0.3621 0.8327 1
Er1 0.2501 0.7498 0.4998 1

=====

two | # Tb3Dy2Er PBE relaxed
# **Density of states at the Fermi level**: 42.9 states/eV per cell
data_Tb3Dy2Er
_chemical_formula_sum 'Tb12 Dy8 Er4'
_space_group_name_H-M_alt 'C 1 2/m 1'
_space_group_IT_number 12
_cell_length_a 16.9185
_cell_length_b 5.5981
_cell_length_c 9.6459
_cell_angle_alpha 90.00
_cell_angle_beta 124.75
_cell_angle_gamma 90.00
loop_
_space_group_symop_operation_xyz
'x,y,z'
'-x,-y,-z'
'-x,y,-z'
'x,-y,z'
'x+1/2,y+1/2,z'
'-x+1/2,-y+1/2,-z'
'-x+1/2,y+1/2,-z'
'x+1/2,-y+1/2,z'
loop_
_atom_site_label
_atom_site_fract_x
_atom_site_fract_y
_atom_site_fract_z
_atom_site_occupancy
Tb1 0.0005 0.0000 0.3323 1
Tb2 0.1248 0.5000 0.6264 1
Tb3 0.2489 0.5000 0.4182 1
Dy1 0.0001 0.5000 0.1656 1
Dy2 0.2493 0.5000 0.0846 1
Er1 0.1250 0.0000 0.1236 1

=====

Which of them is the least stable? Correct choice: two.

=====

one | # Tb2Dy8Er PBE relaxed
# **Density of states at the Fermi level**: 33.0 states/eV per cell
data_Tb2Dy8Er
_chemical_formula_sum 'Tb4 Dy16 Er2'
_space_group_name_H-M_alt 'C 1 2/m 1'
_space_group_IT_number 12
_cell_length_a 16.4024
_cell_length_b 6.6111
_cell_length_c 6.6031
_cell_angle_alpha 90.00
_cell_angle_beta 100.46
_cell_angle_gamma 90.00
loop_
_space_group_symop_operation_xyz
'x,y,z'
'-x,-y,-z'
'-x,y,-z'
'x,-y,z'
'x+1/2,y+1/2,z'
'-x+1/2,-y+1/2,-z'
'-x+1/2,y+1/2,-z'
'x+1/2,-y+1/2,z'
loop_
_atom_site_label
_atom_site_fract_x
_atom_site_fract_y
_atom_site_fract_z
_atom_site_occupancy
Tb1 0.2000 0.0000 0.3000 1
Dy1 0.0880 0.2624 0.9038 1
Dy2 0.0894 0.5000 0.4069 1
Dy3 0.2438 0.0000 0.8101 1
Er1 0.0000 0.0000 0.5000 1

=====

two | # Tb2Dy8Er PBE relaxed
# **Density of states at the Fermi level**: 27.2 states/eV per cell
data_Tb2Dy8Er
_chemical_formula_sum 'Tb4 Dy16 Er2'
_space_group_name_H-M_alt 'C 1 2/m 1'
_space_group_IT_number 12
_cell_length_a 17.1151
_cell_length_b 6.7089
_cell_length_c 6.4296
_cell_angle_alpha 90.00
_cell_angle_beta 109.83
_cell_angle_gamma 90.00
loop_
_space_group_symop_operation_xyz
'x,y,z'
'-x,-y,-z'
'-x,y,-z'
'x,-y,z'
'x+1/2,y+1/2,z'
'-x+1/2,-y+1/2,-z'
'-x+1/2,y+1/2,-z'
'x+1/2,-y+1/2,z'
loop_
_atom_site_label
_atom_site_fract_x
_atom_site_fract_y
_atom_site_fract_z
_atom_site_occupancy
Tb1 0.2165 0.0000 0.1092 1
Dy1 0.0584 0.0000 0.2485 1
Dy2 0.1025 0.2636 0.6897 1
Dy3 0.2091 0.5000 0.3237 1
Er1 0.0000 0.5000 0.0000 1

=====

Which of them is the least stable? Correct choice: two.

=====

one | # Tb2Dy5Er4 PBE relaxed
# **Density of states at the Fermi level**: 31.9 states/eV per cell
data_Tb2Dy5Er4
_chemical_formula_sum 'Tb4 Dy10 Er8'
_space_group_name_H-M_alt 'I m m m'
_space_group_IT_number 71
_space_group_name_Hall '-I 2 2'
_cell_length_a 3.4670
_cell_length_b 8.9366
_cell_length_c 23.0263
_cell_angle_alpha 90.00
_cell_angle_beta 90.00
_cell_angle_gamma 90.00
loop_
_atom_site_label
_atom_site_fract_x
_atom_site_fract_y
_atom_site_fract_z
_atom_site_occupancy
Tb1 0.0000 0.0000 0.2314 1
Dy1 0.0000 0.1979 0.3560 1
Dy2 0.0000 0.5000 0.0000 1
Er1 0.0000 0.0000 0.0969 1
Er2 0.0000 0.3107 0.5000 1

=====

two | # Tb2Dy5Er4 PBE relaxed
# **Density of states at the Fermi level**: 37.1 states/eV per cell
data_Tb2Dy5Er4
_chemical_formula_sum 'Tb4 Dy10 Er8'
_space_group_name_H-M_alt 'C 1 2/m 1'
_space_group_IT_number 12
_cell_length_a 10.9416
_cell_length_b 7.2707
_cell_length_c 9.1518
_cell_angle_alpha 90.00
_cell_angle_beta 107.26
_cell_angle_gamma 90.00
loop_
_space_group_symop_operation_xyz
'x,y,z'
'-x,-y,-z'
'-x,y,-z'
'x,-y,z'
'x+1/2,y+1/2,z'
'-x+1/2,-y+1/2,-z'
'-x+1/2,y+1/2,-z'
'x+1/2,-y+1/2,z'
loop_
_atom_site_label
_atom_site_fract_x
_atom_site_fract_y
_atom_site_fract_z
_atom_site_occupancy
Tb1 0.1461 0.0000 0.1225 1
Dy1 0.0000 0.0000 0.5000 1
Dy2 0.0683 0.2797 0.7779 1
Er1 0.1693 0.5000 0.1226 1
Er2 0.1808 0.5000 0.4984 1

=====

Which of them is the least stable? Correct choice: one.

=====

one | # Tb3Dy3Er PBE relaxed
# **Density of states at the Fermi level**: 56.5 states/eV per cell
data_Tb3Dy3Er
_chemical_formula_sum 'Tb18 Dy18 Er6'
_space_group_name_H-M_alt 'R -3'
_space_group_IT_number 148
_space_group_name_Hall '-R 3'
_cell_length_a 6.1478
_cell_length_b 6.1478
_cell_length_c 42.2986
_cell_angle_alpha 90.00
_cell_angle_beta 90.00
_cell_angle_gamma 120.00
loop_
_atom_site_label
_atom_site_fract_x
_atom_site_fract_y
_atom_site_fract_z
_atom_site_occupancy
Tb1 0.0001 0.3313 0.1325 1
Dy1 0.0003 0.3332 0.2676 1
Er1 0.0000 0.0000 0.3333 1

=====

two | # Tb3Dy3Er PBE relaxed
# **Density of states at the Fermi level**: 28.2 states/eV per cell
data_Tb3Dy3Er
_chemical_formula_sum 'Tb6 Dy6 Er2'
_space_group_name_H-M_alt 'P 63/m'
_space_group_IT_number 176
_space_group_name_Hall '-P 6c'
_cell_length_a 9.5268
_cell_length_b 9.5268
_cell_length_c 5.6448
_cell_angle_alpha 90.00
_cell_angle_beta 90.00
_cell_angle_gamma 120.00
loop_
_atom_site_label
_atom_site_fract_x
_atom_site_fract_y
_atom_site_fract_z
_atom_site_occupancy
Tb1 0.0477 0.2392 0.2500 1
Dy1 0.0951 0.4763 0.7500 1
Er1 0.3333 0.6667 0.2500 1

=====

Which of them is the least stable? Correct choice: one.